1.
! Pm2Si3Ir2 | Alexandria | PBE-GGA | relaxed; values from VASP
! VASP energy = -49.40 eV/f.u.
! Energy relative to the elements, uncorrected = -5.90 eV per formula unit
! Relative energy among the computed polymorphs = 0.0 meV/atom
! Space group = Cmcm
&SYSTEM
  ibrav = 0, nat = 14, ntyp = 3
/
ATOMIC_SPECIES
Pm 145.00 Pm.upf
Si 28.09 Si.upf
Ir 192.22 Ir.upf
ATOMIC_POSITIONS crystal
Pm 0.057 0.943 0.750
Pm 0.154 0.846 0.250
Pm 0.846 0.154 0.750
Pm 0.943 0.057 0.250
Si 0.226 0.774 0.750
Si 0.438 0.562 0.570
Si 0.438 0.562 0.930
Si 0.562 0.438 0.070
Si 0.562 0.438 0.430
Si 0.774 0.226 0.250
Ir 0.308 0.692 0.050
Ir 0.308 0.692 0.450
Ir 0.692 0.308 0.550
Ir 0.692 0.308 0.950
CELL_PARAMETERS angstrom
2.103 -8.838 0.000
2.103 8.838 0.000
0.000 0.000 6.994

***

2.
! Pm4SiIr4 | Alexandria | PBE-GGA | relaxed; values from VASP
! VASP energy = -66.22 eV/f.u.
! Energy relative to the elements, uncorrected = -6.35 eV per formula unit
! Space group = P4_2/n
&SYSTEM
  ibrav = 0, nat = 18, ntyp = 3
/
ATOMIC_SPECIES
Pm 145.00 Pm.upf
Si 28.09 Si.upf
Ir 192.22 Ir.upf
ATOMIC_POSITIONS crystal
Pm 0.040 0.815 0.106
Pm 0.185 0.540 0.606
Pm 0.315 0.960 0.606
Pm 0.460 0.685 0.106
Pm 0.540 0.315 0.894
Pm 0.685 0.040 0.394
Pm 0.815 0.460 0.394
Pm 0.960 0.185 0.894
Si 0.250 0.250 0.250
Si 0.750 0.750 0.750
Ir 0.019 0.142 0.400
Ir 0.142 0.481 0.100
Ir 0.358 0.019 0.100
Ir 0.481 0.358 0.400
Ir 0.519 0.642 0.600
Ir 0.642 0.981 0.900
Ir 0.858 0.519 0.900
Ir 0.981 0.858 0.600
CELL_PARAMETERS angstrom
8.469 0.000 0.000
0.000 8.469 0.000
0.000 0.000 5.749

***

3.
! Pm4SiIr | Alexandria | PBE-GGA | relaxed; values from VASP
! VASP energy = -35.90 eV/f.u.
! Energy relative to the elements, uncorrected = -2.61 eV per formula unit
! Space group = P2_1/c
&SYSTEM
  ibrav = 0, nat = 12, ntyp = 3
/
ATOMIC_SPECIES
Pm 145.00 Pm.upf
Si 28.09 Si.upf
Ir 192.22 Ir.upf
ATOMIC_POSITIONS crystal
Pm 0.155 0.164 0.167
Pm 0.155 0.336 0.667
Pm 0.326 0.664 0.159
Pm 0.326 0.836 0.659
Pm 0.674 0.164 0.341
Pm 0.674 0.336 0.841
Pm 0.845 0.664 0.333
Pm 0.845 0.836 0.833
Si 0.500 0.000 0.000
Si 0.500 0.500 0.500
Ir 0.000 0.000 0.500
Ir 0.000 0.500 0.000
CELL_PARAMETERS angstrom
7.210 0.000 0.000
0.000 7.087 0.000
-0.098 0.000 7.058